First-principles (PBEsol) data for a relaxed structure of InSbOs2, as listed in Alexandria via LeMat-Bulk.

Unit cell a=3.0331 b=4.5755 c=5.3710 alpha=100.50 beta=90.00 gamma=109.36
Atoms (fractional coordinates):
Sb (0.0000, 0.0000, 0.5000)
Os (0.2489, 0.4979, 0.2767)
Os (0.7511, 0.5021, 0.7233)
In (0.5000, 0.0000, 0.0000)

- total magnetization (μB/f.u.) = 0.0
- uncorrected formation energy (eV per atom) = 0.58

First-principles (PBEsol) data for a relaxed structure of InSbOs2, as listed in Alexandria via LeMat-Bulk.

Unit cell a=3.1536 b=4.3330 c=5.1234 alpha=90.00 beta=90.00 gamma=90.00
Atoms (fractional coordinates):
Os (0.0000, 0.0000, 0.0000)
Os (0.5000, 0.0000, 0.5000)
Sb (0.5000, 0.5000, 0.0000)
In (0.0000, 0.5000, 0.5000)

- total magnetization (μB/f.u.) = 0.0
- uncorrected formation energy (eV per atom) = 0.86

First-principles (PBEsol) data for a relaxed structure of InSb3Os, as listed in Alexandria via LeMat-Bulk.

Unit cell a=5.3237 b=5.3237 c=5.3237 alpha=90.00 beta=90.00 gamma=90.00
Atoms (fractional coordinates):
Sb (0.5000, 0.0000, 0.0000)
Sb (0.0000, 0.0000, 0.5000)
Sb (0.0000, 0.5000, 0.0000)
Os (0.5000, 0.5000, 0.5000)
In (0.0000, 0.0000, 0.0000)

- total magnetization (μB/f.u.) = 1.9
- uncorrected formation energy (eV per atom) = 2.01

First-principles (PBEsol) data for a relaxed structure of In2SbOs, as listed in Alexandria via LeMat-Bulk.

Unit cell a=3.3826 b=5.1168 c=4.9807 alpha=99.09 beta=90.00 gamma=109.30
Atoms (fractional coordinates):
In (0.7334, 0.4669, 0.7217)
In (0.2666, 0.5331, 0.2783)
Os (0.0000, 0.0000, 0.5000)
Sb (0.5000, 0.0000, 0.0000)

- total magnetization (μB/f.u.) = 0.0
- uncorrected formation energy (eV per atom) = 0.51